A relaxed BaSrBN2 crystal, computed with PBE.

Computed properties:
Density: 3.9 g/cm3
E_form (uncorrected): -837 meV/atom
E_tot: -6.22 eV per atom
DOS at the Fermi energy: 0.33 states/eV/atom

Lattice parameters (Å, degrees): 4.7303 6.2554 7.5078 90.00 90.03 90.00
Sites, in units of the cell vectors:
Ba 0.0000 0.0010 0.2500
Ba 0.0000 0.9990 0.7500
Sr 0.5000 0.4995 0.7500
Sr 0.5000 0.5005 0.2500
B 0.5000 0.0000 0.0000
B 0.5000 0.0000 0.5000
N 0.4307 0.2085 0.0003
N 0.4307 0.7915 0.5003
N 0.5693 0.2085 0.4997
N 0.5693 0.7915 0.9997